The following is a GGA-PBE calculation of crystalline Rb6Au2I3Cl at its relaxed geometry, from the Alexandria database.

a b c (Å): 8.8550 8.8550 8.8757
angles (deg): 99.58 99.58 120.02
Closest atoms and distances in Å follow each position.
Element x y z (fractional)
Rb: 0.0777 0.3996 0.2330  1 Cl 3.45, 2 Au 3.58-3.59, 3 I 3.66-3.75
Rb: 0.2432 0.2432 0.7654  1 Cl 3.46, 2 Au 3.58, 3 I 3.69-3.78
Rb: 0.3996 0.0777 0.2330  1 Cl 3.45, 2 Au 3.58-3.59, 3 I 3.66-3.75
Rb: 0.6004 0.9223 0.7670  1 Cl 3.45, 2 Au 3.58-3.59, 3 I 3.66-3.75
Rb: 0.7568 0.7568 0.2346  1 Cl 3.46, 2 Au 3.58, 3 I 3.69-3.78
Rb: 0.9223 0.6004 0.7670  1 Cl 3.45, 2 Au 3.58-3.59, 3 I 3.66-3.75
Au: 0.3339 0.6661 0.0000  6 Rb 3.58-3.59
Au: 0.6661 0.3339 0.0000  6 Rb 3.58-3.59
I: 0.1700 0.8300 0.5000  6 Rb 3.67-3.75
I: 0.5000 0.5000 0.5000  6 Rb 3.66-3.78
I: 0.8300 0.1700 0.5000  6 Rb 3.67-3.75
Cl: 0.0000 0.0000 0.0000  6 Rb 3.45-3.46

Values from the calculation:
ρ, g/cm3: 3.87
Energy, eV/f.u.: -32.67


The following is a GGA-PBE calculation of crystalline Rb4AuI2Cl at its relaxed geometry, from the Alexandria database.

a b c (Å): 8.8004 5.0798 8.8467
angles (deg): 90.00 109.34 90.00
Closest atoms and distances in Å follow each position.
Element x y z (fractional)
Rb: 0.2294 0.0000 0.2358  2 Cl 3.48, 1 Au 3.56, 3 I 3.65-3.73
Rb: 0.2340 0.5000 0.7525  1 Cl 3.47, 2 Au 3.55, 3 I 3.65-3.73
Rb: 0.7660 0.5000 0.2475  1 Cl 3.47, 2 Au 3.55, 3 I 3.65-3.73
Rb: 0.7706 0.0000 0.7642  2 Cl 3.48, 1 Au 3.56, 3 I 3.65-3.73
Au: 0.0000 0.0000 0.5000  6 Rb 3.55-3.56
I: 0.5000 0.0000 0.0000  6 Rb 3.65
I: 0.5000 0.5000 0.5000  6 Rb 3.73
Cl: 0.0000 0.5000 0.0000  6 Rb 3.47-3.48

Values from the calculation:
ρ, g/cm3: 3.68
Energy, eV/f.u.: -22.40


The following is a GGA-PBE calculation of crystalline AuS2ICl at its relaxed geometry, from the Alexandria database.

a b c (Å): 4.9654 4.9654 4.8501
angles (deg): 90.00 90.00 90.00
Closest atoms and distances in Å follow each position.
Element x y z (fractional)
Au: 0.0000 0.0000 0.0000  2 Cl 2.43, 4 S 2.48
S: 0.0000 0.5000 0.0000  2 Au 2.48
S: 0.5000 0.0000 0.0000  2 Au 2.48
I: 0.5000 0.5000 0.5000  8 S 3.47, 4 Cl 3.51
Cl: 0.0000 0.0000 0.5000  2 Au 2.43

Values from the calculation:
ρ, g/cm3: 5.88
Offset from the most stable computed form, meV/atom: 0


The following is a GGA-PBE calculation of crystalline SbAuI2Cl at its relaxed geometry, from the Alexandria database.

a b c (Å): 5.5599 5.5599 5.5234
angles (deg): 90.00 90.00 90.00
Closest atoms and distances in Å follow each position.
Element x y z (fractional)
Sb: 0.0000 0.0000 0.0000  2 Au 2.76
Au: 0.0000 0.0000 0.5000  2 Sb 2.76, 4 I 2.78
I: 0.0000 0.5000 0.5000  2 Au 2.78
I: 0.5000 0.0000 0.5000  2 Au 2.78
Cl: 0.5000 0.5000 0.0000  8 I 3.92, 4 Sb 3.93

Values from the calculation:
ρ, g/cm3: 5.91
Offset from the most stable computed form, meV/atom: 0